PBE La6Cd2CoRu, optimized geometry; calculated formation energy = -0.23 eV/atom; energy = -5.005 eV/atom
1.0
-4.0244 -5.4999 -3.5688
-2.9715 -1.8994 6.8357
-0.5226 7.1427 -2.4244
Cd La Co Ru
2 6 1 1
direct
0.7509 0.2508 0.5016 Cd
0.2489 0.7501 0.4980 Cd
0.1912 0.1937 0.4923 La
0.6970 0.7022 0.8912 La
0.2480 0.7497 0.0021 La
0.3028 0.2986 0.1085 La
0.8084 0.8070 0.5072 La
0.7518 0.2511 0.9974 La
0.0000 0.0003 0.9998 Co
0.4999 0.5004 0.9998 Ru


PBE TiAsRh3, optimized geometry; calculated formation energy = 0.33 eV/atom; energy = -6.593 eV/atom; energy above the most stable polymorph in this dataset = 0.000 eV per atom
1.0
-1.4349 -1.9013 3.8258
0.6222 -4.0858 -1.7972
4.2266 -0.0440 1.5634
Ti As Rh
1 1 3
direct
0.5000 0.5000 0.5000 Ti
0.0000 0.0000 0.0000 As
0.5000 0.0000 0.0000 Rh
0.0000 0.5000 0.0000 Rh
0.0000 0.0000 0.5000 Rh


PBE LiPr2Be3Ge4, optimized geometry; calculated formation energy = -0.43 eV/atom; energy = -4.539 eV/atom
1.0
4.1836 0.0000 0.0000
0.0000 4.1836 0.0000
0.0000 0.0000 9.8312
Ge Li Pr Be
4 1 2 3
direct
0.0000 0.5000 0.3621 Ge
0.5000 0.5000 0.0000 Ge
0.5000 0.0000 0.6379 Ge
0.0000 0.0000 0.0000 Ge
0.5000 0.5000 0.5000 Li
0.0000 0.5000 0.7534 Pr
0.5000 0.0000 0.2466 Pr
0.0000 0.0000 0.5000 Be
0.5000 0.0000 0.8736 Be
0.0000 0.5000 0.1264 Be


PBE KCdIr2, optimized geometry; calculated formation energy = 0.75 eV/atom; energy = -4.182 eV/atom
1.0
2.8361 0.0000 0.0000
0.0000 5.0214 0.0000
0.0000 0.0000 5.2004
Ir Cd K
2 1 1
direct
0.0000 0.0000 0.0000 Ir
0.5000 0.5000 0.0000 Ir
0.0000 0.5000 0.5000 Cd
0.5000 0.0000 0.5000 K


PBE Ba2ZrV, optimized geometry; calculated formation energy = 1.02 eV/atom; energy = -4.360 eV/atom
1.0
4.1534 0.5662 3.9637
-1.1096 2.7016 4.9752
-0.2751 -3.0065 4.9161
Ba Zr V
2 1 1
direct
0.7500 0.7500 0.7500 Ba
0.2500 0.2500 0.2500 Ba
0.5000 0.5000 0.5000 Zr
0.0000 0.0000 0.0000 V


PBE BaFeB2C, optimized geometry; calculated formation energy = 1.62 eV/atom; energy = -4.975 eV/atom
1.0
3.9262 0.0000 0.0000
0.0000 5.9035 0.0000
0.0000 0.0000 3.9262
C B Fe Ba
1 2 1 1
direct
0.5000 0.5000 0.5000 C
0.5000 0.0000 0.0000 B
0.0000 0.0000 0.5000 B
0.0000 0.0000 0.0000 Fe
0.0000 0.5000 0.0000 Ba